Entry 1:
This record from Alexandria via LeMat-Bulk describes a relaxed Tl3ReI2Cl6 crystal. The functional is GGA-PBE.

```
Tl3ReI2Cl6
1.0
-1.831 5.542 0.928
-6.475 -2.929 4.716
7.981 1.825 4.379
Cl I Tl Re
6 2 3 1
Direct
0.280 0.741 0.873
0.280 0.132 0.873
0.720 0.868 0.127
0.720 0.259 0.127
0.266 0.114 0.227
0.734 0.886 0.773
0.937 0.303 0.607
0.063 0.697 0.393
0.500 0.500 0.500
0.500 0.000 0.500
0.000 0.500 0.000
0.500 0.000 0.000
```

**DOS at the Fermi energy**: 0.67 states/eV per atom
**Size of the total moment**: 1.9 μB/cell
**Energy relative to the elements, uncorrected**: -0.67 eV per atom

***

Entry 2:
This record from Alexandria via LeMat-Bulk describes a relaxed IrRhS4 crystal. The functional is GGA-PBE.

```
IrRhS4
1.0
3.986 -0.004 -2.302
-0.958 4.010 -2.048
0.475 1.082 6.402
Ir S Rh
1 4 1
Direct
0.721 0.221 0.500
0.464 0.051 0.077
0.280 0.362 0.578
0.974 0.386 0.923
0.784 0.702 0.422
0.528 0.528 0.000
```

**DOS at the Fermi energy**: 0.42 states/eV per atom
**Offset from the most stable computed form**: 118.4 kJ/mol of formula units
**Size of the total moment**: 0.0 μB/cell
**Energy relative to the elements, uncorrected**: -0.11 eV per atom

***

Entry 3:
This record from Alexandria via LeMat-Bulk describes a relaxed KCu2Ni crystal. The functional is GGA-PBE.

```
KCu2Ni
1.0
-4.193 1.169 0.582
-3.939 0.173 -1.934
-2.038 -5.998 2.169
Ni Cu K
1 2 1
Direct
0.269 0.269 0.140
0.000 0.000 0.012
0.730 0.730 0.854
0.500 0.500 0.494
```

**DOS at the Fermi energy**: 0.77 states/eV per atom
**Offset from the most stable computed form**: 16.1 kJ/mol of formula units
**Calculated formation energy**: 0.438 eV per atom
**Size of the total moment**: 0.0 μB/cell

***

Entry 4:
This record from Alexandria via LeMat-Bulk describes a relaxed Rb3MgU3S8 crystal. The functional is GGA-PBE.

```
Rb3MgU3S8
1.0
7.993 0.000 0.000
-3.996 6.923 -0.022
0.000 -4.593 7.843
U S Mg Rb
3 8 1 3
Direct
0.500 0.000 0.500
0.500 0.500 0.500
0.000 0.500 0.500
0.731 0.462 0.693
0.773 0.546 0.316
0.227 0.454 0.684
0.730 0.957 0.683
0.773 0.043 0.317
0.269 0.538 0.307
0.227 0.957 0.683
0.270 0.043 0.317
0.000 0.000 0.500
0.000 0.500 0.000
0.500 0.500 0.000
0.000 0.000 0.000
```

**DOS at the Fermi energy**: 0.74 states/eV per atom
**Size of the total moment**: 7.0 μB/cell
**Energy relative to the elements, uncorrected**: -1.39 eV per atom

***

Entry 5:
This record from Alexandria via LeMat-Bulk describes a relaxed AcTb5Pm5 crystal. The functional is GGA-PBE.

```
AcTb5Pm5
1.0
-1.551 5.633 -2.151
-3.534 -4.938 -1.373
-6.402 1.909 9.618
Tb Ac Pm
5 1 5
Direct
0.833 0.167 0.500
0.833 0.666 0.500
0.000 0.000 0.734
0.334 0.167 0.500
0.000 0.000 0.266
0.333 0.667 0.000
0.667 0.333 0.161
0.333 0.667 0.668
0.000 0.000 0.000
0.667 0.333 0.839
0.333 0.667 0.332
```

**DOS at the Fermi energy**: 1.68 states/eV per atom
**Calculated formation energy**: 0.279 eV per atom
**Size of the total moment**: 0.0 μB/cell

***

Entry 6:
This record from Alexandria via LeMat-Bulk describes a relaxed Dy4BCl5 crystal. The functional is GGA-PBE.

```
Dy4BCl5
1.0
3.822 0.000 0.000
0.000 7.854 -0.425
-1.911 -1.552 8.488
Cl Dy B
5 4 1
Direct
0.828 0.156 0.657
0.172 0.844 0.343
0.165 0.334 0.330
0.835 0.666 0.670
0.500 0.500 0.000
0.001 0.783 0.002
0.999 0.217 0.998
0.353 0.918 0.706
0.647 0.082 0.294
0.500 0.000 0.000
```

**DOS at the Fermi energy**: 0.43 states/eV per atom
**Size of the total moment**: 0.0 μB/cell
**Energy relative to the elements, uncorrected**: -1.67 eV per atom

***

Q: Look up the DOS at the Fermi energy of the first one.
A: 0.67 states/eV per atom

***

Q: DOS at the Fermi energy of number 5 (AcTb5Pm5)?
A: 1.68 states/eV per atom

***

Q: What is the size of the total moment in the first record?
A: 1.9 μB/cell